Here is a geometry-optimized HfScCuB structure from the Open Quantum Materials Database. Energies are from PBE-GGA.

## Properties
excess energy over the best structure of this formula in the dataset = 0 meV/atom
raw total energy = -0.218 hartree per atom

```
HfScCuB
1.0
0.000 3.114 3.114
3.114 0.000 3.114
3.114 3.114 0.000
Hf Sc Cu B
1 1 1 1
Cartesian
0.000 0.000 0.000
4.670 4.670 4.670
3.114 3.114 3.114
1.557 1.557 1.557
```